Record 1
Material: CsCuHgAu2
Method: DFT, PBE
State: relaxed

```
data_CsCuHgAu2
_symmetry_space_group_name_H-M 'P 1'
_symmetry_Int_Tables_number 1
_cell_length_a 5.197
_cell_length_b 5.197
_cell_length_c 5.203
_cell_angle_alpha 90.00
_cell_angle_beta 90.00
_cell_angle_gamma 90.00
loop_
_symmetry_equiv_pos_as_xyz
'x,y,z'
loop_
_atom_site_label
_atom_site_type_symbol
_atom_site_fract_x
_atom_site_fract_y
_atom_site_fract_z
Hg1 Hg 0.000 0.000 0.500
Au1 Au 0.000 0.500 0.000
Cs1 Cs 0.500 0.500 0.500
Cu1 Cu 0.000 0.000 0.000
Au2 Au 0.500 0.000 0.000
```

Properties
**Calculated volume**: 28.1 Å³ per atom
**Energy relative to the elements**: -0.02 eV/atom
**Space-group type**: P4/mmm (123)

***

Record 2
Material: CrCo2Ir
Method: DFT, PBE
State: relaxed

```
data_CrCo2Ir
_symmetry_space_group_name_H-M 'P 1'
_symmetry_Int_Tables_number 1
_cell_length_a 8.440
_cell_length_b 8.440
_cell_length_c 8.440
_cell_angle_alpha 17.71
_cell_angle_beta 17.71
_cell_angle_gamma 17.71
loop_
_symmetry_equiv_pos_as_xyz
'x,y,z'
loop_
_atom_site_label
_atom_site_type_symbol
_atom_site_fract_x
_atom_site_fract_y
_atom_site_fract_z
Co1 Co 0.996 0.996 0.996
Cr1 Cr 0.250 0.250 0.250
Ir1 Ir 0.750 0.750 0.750
Co2 Co 0.504 0.504 0.504
```

Properties
**Calculated volume**: 12.1 Å³ per atom
**Energy relative to the elements**: 0.15 eV/atom
**Energy relative to the lowest polymorph listed for this composition**: 0.232 eV/atom
**Space-group type**: R-3m (166)

***

Record 3
Material: ZnSb2Pd8
Method: DFT, PBE
State: relaxed

```
data_ZnSb2Pd8
_symmetry_space_group_name_H-M 'P 1'
_symmetry_Int_Tables_number 1
_cell_length_a 4.313
_cell_length_b 6.509
_cell_length_c 7.449
_cell_angle_alpha 112.54
_cell_angle_beta 106.83
_cell_angle_gamma 90.00
loop_
_symmetry_equiv_pos_as_xyz
'x,y,z'
loop_
_atom_site_label
_atom_site_type_symbol
_atom_site_fract_x
_atom_site_fract_y
_atom_site_fract_z
Pd1 Pd 0.669 0.934 0.339
Pd2 Pd 0.179 0.252 0.358
Pd3 Pd 0.028 0.796 0.055
Pd4 Pd 0.972 0.204 0.945
Pd5 Pd 0.821 0.748 0.642
Pd6 Pd 0.591 0.439 0.181
Zn1 Zn 0.500 0.000 0.000
Sb1 Sb 0.820 0.333 0.639
Pd7 Pd 0.409 0.561 0.819
Sb2 Sb 0.180 0.667 0.361
Pd8 Pd 0.331 0.066 0.661
```

Properties
**Calculated volume**: 16.7 Å³ per atom
**Energy relative to the lowest polymorph listed for this composition**: 0.035 eV/atom
**Uncorrected formation energy**: -4.16 eV per formula unit
**Space-group type**: C2/m (12)

***

Record 4
Material: SrNb2PbBr
Method: DFT, PBE
State: relaxed

```
data_SrNb2PbBr
_symmetry_space_group_name_H-M 'P 1'
_symmetry_Int_Tables_number 1
_cell_length_a 4.874
_cell_length_b 5.688
_cell_length_c 4.874
_cell_angle_alpha 90.00
_cell_angle_beta 90.00
_cell_angle_gamma 90.00
loop_
_symmetry_equiv_pos_as_xyz
'x,y,z'
loop_
_atom_site_label
_atom_site_type_symbol
_atom_site_fract_x
_atom_site_fract_y
_atom_site_fract_z
Nb1 Nb 0.000 0.000 0.500
Nb2 Nb 0.500 0.000 0.000
Br1 Br 0.000 0.000 0.000
Pb1 Pb 0.500 0.500 0.500
Sr1 Sr 0.000 0.500 0.000
```

Properties
**Calculated volume**: 27.0 Å³ per atom
**Uncorrected formation energy**: 3.63 eV per formula unit
**Space-group type**: P4/mmm (123)

***

Record 5
Material: SmY3ErTm
Method: DFT, PBE
State: relaxed

```
data_SmY3ErTm
_symmetry_space_group_name_H-M 'P 1'
_symmetry_Int_Tables_number 1
_cell_length_a 5.028
_cell_length_b 7.954
_cell_length_c 10.055
_cell_angle_alpha 90.00
_cell_angle_beta 90.00
_cell_angle_gamma 108.43
loop_
_symmetry_equiv_pos_as_xyz
'x,y,z'
loop_
_atom_site_label
_atom_site_type_symbol
_atom_site_fract_x
_atom_site_fract_y
_atom_site_fract_z
Sm1 Sm 0.000 0.000 0.500
Y1 Y 0.167 0.333 0.750
Y2 Y 0.667 0.333 0.000
Er1 Er 0.499 0.998 0.750
Tm1 Tm 0.166 0.332 0.250
Y3 Y 0.333 0.667 0.000
Er2 Er 0.501 0.002 0.250
Tm2 Tm 0.834 0.668 0.750
Y4 Y 0.667 0.333 0.500
Y5 Y 0.333 0.667 0.500
Sm2 Sm 0.000 0.000 0.000
Y6 Y 0.833 0.667 0.250
```

Properties
**Calculated volume**: 31.8 Å³ per atom
**Energy relative to the elements**: 0.02 eV/atom
**Space-group type**: Cmcm (63)

***

Record 6
Material: Er3ScCd12
Method: DFT, PBE
State: relaxed

```
data_Er3ScCd12
_symmetry_space_group_name_H-M 'P 1'
_symmetry_Int_Tables_number 1
_cell_length_a 4.454
_cell_length_b 4.454
_cell_length_c 18.824
_cell_angle_alpha 90.00
_cell_angle_beta 90.00
_cell_angle_gamma 90.00
loop_
_symmetry_equiv_pos_as_xyz
'x,y,z'
loop_
_atom_site_label
_atom_site_type_symbol
_atom_site_fract_x
_atom_site_fract_y
_atom_site_fract_z
Cd1 Cd 0.500 0.500 0.246
Cd2 Cd 0.500 0.500 0.500
Cd3 Cd 0.500 0.000 0.120
Sc1 Sc 0.000 0.000 0.000
Er1 Er 0.000 0.000 0.753
Cd4 Cd 0.000 0.500 0.373
Er2 Er 0.000 0.000 0.247
Cd5 Cd 0.500 0.000 0.627
Cd6 Cd 0.000 0.500 0.627
Er3 Er 0.000 0.000 0.500
Cd7 Cd 0.500 0.500 0.000
Cd8 Cd 0.500 0.000 0.373
Cd9 Cd 0.000 0.500 0.880
Cd10 Cd 0.500 0.000 0.880
Cd11 Cd 0.000 0.500 0.120
Cd12 Cd 0.500 0.500 0.754
```

Properties
**Calculated volume**: 23.3 Å³ per atom
**Energy relative to the elements**: -0.22 eV/atom
**Space-group type**: P4/mmm (123)

***

Record 7
Material: MoIrPt2
Method: DFT, PBE
State: relaxed

```
data_MoIrPt2
_symmetry_space_group_name_H-M 'P 1'
_symmetry_Int_Tables_number 1
_cell_length_a 2.789
_cell_length_b 4.817
_cell_length_c 5.567
_cell_angle_alpha 54.81
_cell_angle_beta 90.00
_cell_angle_gamma 90.00
loop_
_symmetry_equiv_pos_as_xyz
'x,y,z'
loop_
_atom_site_label
_atom_site_type_symbol
_atom_site_fract_x
_atom_site_fract_y
_atom_site_fract_z
Ir1 Ir 0.500 0.500 0.500
Pt1 Pt 0.000 0.000 0.000
Mo1 Mo 0.000 0.000 0.500
Pt2 Pt 0.500 0.500 0.000
```

Properties
**Calculated volume**: 15.3 Å³ per atom
**Energy relative to the elements**: -0.11 eV/atom
**Energy relative to the lowest polymorph listed for this composition**: 0.137 eV/atom
**Space-group type**: P2/m (10)

***

Record 8
Material: Al2Pd2Rh
Method: DFT, PBE
State: relaxed

```
data_Al2Pd2Rh
_symmetry_space_group_name_H-M 'P 1'
_symmetry_Int_Tables_number 1
_cell_length_a 2.955
_cell_length_b 2.957
_cell_length_c 8.556
_cell_angle_alpha 80.05
_cell_angle_beta 90.00
_cell_angle_gamma 90.00
loop_
_symmetry_equiv_pos_as_xyz
'x,y,z'
loop_
_atom_site_label
_atom_site_type_symbol
_atom_site_fract_x
_atom_site_fract_y
_atom_site_fract_z
Pd1 Pd 0.000 0.821 0.359
Al1 Al 0.500 0.408 0.184
Rh1 Rh 0.000 0.000 0.000
Pd2 Pd 0.000 0.179 0.641
Al2 Al 0.500 0.592 0.816
```

Properties
**Calculated volume**: 14.7 Å³ per atom
**Energy relative to the elements**: -0.85 eV/atom
**Energy relative to the lowest polymorph listed for this composition**: 0.000 eV/atom
**Space-group type**: Cmmm (65)

***

> Which formula does entry 5 have?

SmY3ErTm

***

> The highest calculated volume belongs to which entry?

SmY3ErTm